1.
Below is a relaxed structure of TbSmTl, with properties calculated at the PBE-GGA level.

Lattice parameters (Å, degrees): 7.4217 7.4217 7.4217 90.00 90.00 90.00
Closest atoms and distances in Å follow each position.
Sites, in units of the cell vectors:
Tb1 0.0000 0.0000 0.0000  4 Tl 3.21
Tb2 0.0000 0.5000 0.5000  4 Tl 3.21
Tb3 0.5000 0.0000 0.5000  4 Tl 3.21
Tb4 0.5000 0.5000 0.0000  4 Tl 3.21
Sm1 0.0000 0.0000 0.5000  4 Tl 3.21
Sm2 0.0000 0.5000 0.0000  4 Tl 3.21
Sm3 0.5000 0.0000 0.0000  4 Tl 3.21
Sm4 0.5000 0.5000 0.5000  4 Tl 3.21
Tl1 0.2500 0.2500 0.7500  4 Tb 3.21, 4 Sm 3.21
Tl2 0.2500 0.7500 0.2500  4 Tb 3.21, 4 Sm 3.21
Tl3 0.7500 0.2500 0.2500  4 Tb 3.21, 4 Sm 3.21
Tl4 0.7500 0.7500 0.7500  4 Tb 3.21, 4 Sm 3.21

Summary:
The value obtained for the distance to the lowest polymorph of the same formula is 225.8 meV/atom. As for the total magnetization: 0.32 μB/f.u. The space group is No. 216. The raw total energy is -3.943 eV/atom.

---

2.
Below is a relaxed structure of Tb6SmTl2, with properties calculated at the PBE-GGA level.

Lattice parameters (Å, degrees): 11.3810 11.3810 11.3810 151.37 151.37 40.94
Closest atoms and distances in Å follow each position.
Sites, in units of the cell vectors:
Tb1 0.1283 0.7379 0.0000  1 Sm 2.81, 1 Tl 3.04, 1 Tb 3.11
Tb2 0.2500 0.7500 0.5000  4 Tl 3.10
Tb3 0.2621 0.2621 0.3904  1 Sm 2.81, 1 Tl 3.04, 1 Tb 3.11
Tb4 0.7379 0.1283 0.0000  1 Sm 2.81, 1 Tl 3.04, 1 Tb 3.11
Tb5 0.7500 0.2500 0.5000  4 Tl 3.10
Tb6 0.8717 0.8717 0.6096  1 Sm 2.81, 1 Tl 3.04, 1 Tb 3.11
Sm1 0.5000 0.5000 0.0000  4 Tb 2.81
Tl1 0.1895 0.1895 0.0000  6 Tb 3.04-3.10
Tl2 0.8105 0.8105 0.0000  6 Tb 3.04-3.10

Summary:
The value obtained for the distance to the lowest polymorph of the same formula is 679.0 meV/atom. As for the total magnetization: 0.00 μB/f.u. The space group is No. 121. The raw total energy is -3.605 eV/atom.

---

3.
Below is a relaxed structure of Tb2SmTl, with properties calculated at the PBE-GGA level.

Lattice parameters (Å, degrees): 3.6469 12.9055 10.4050 90.00 90.00 90.00
Closest atoms and distances in Å follow each position.
Sites, in units of the cell vectors:
Tb1 0.0000 0.1329 0.0278  3 Tl 3.26-3.32, 5 Tb 3.48-3.65, 2 Sm 3.62
Tb2 0.0000 0.1329 0.4722  3 Tl 3.26-3.32, 5 Tb 3.48-3.65, 2 Sm 3.62
Tb3 0.0000 0.8671 0.5278  3 Tl 3.26-3.32, 5 Tb 3.48-3.65, 2 Sm 3.62
Tb4 0.0000 0.8671 0.9722  3 Tl 3.26-3.32, 5 Tb 3.48-3.65, 2 Sm 3.62
Tb5 0.5000 0.3671 0.5278  3 Tl 3.26-3.32, 5 Tb 3.48-3.65, 2 Sm 3.62
Tb6 0.5000 0.3671 0.9722  3 Tl 3.26-3.32, 5 Tb 3.48-3.65, 2 Sm 3.62
Tb7 0.5000 0.6329 0.0278  3 Tl 3.26-3.32, 5 Tb 3.48-3.65, 2 Sm 3.62
Tb8 0.5000 0.6329 0.4722  3 Tl 3.26-3.32, 5 Tb 3.48-3.65, 2 Sm 3.62
Sm1 0.0000 0.4593 0.2500  3 Tl 3.36-3.63, 8 Tb 3.62-3.70, 2 Sm 3.65
Sm2 0.0000 0.5407 0.7500  3 Tl 3.36-3.63, 8 Tb 3.62-3.70, 2 Sm 3.65
Sm3 0.5000 0.0407 0.7500  3 Tl 3.36-3.63, 8 Tb 3.62-3.70, 2 Sm 3.65
Sm4 0.5000 0.9593 0.2500  3 Tl 3.36-3.63, 8 Tb 3.62-3.70, 2 Sm 3.65
Tl1 0.0000 0.2591 0.7500  6 Tb 3.26-3.32, 3 Sm 3.36-3.63, 2 Tl 3.65
Tl2 0.0000 0.7409 0.2500  6 Tb 3.26-3.32, 3 Sm 3.36-3.63, 2 Tl 3.65
Tl3 0.5000 0.2409 0.2500  6 Tb 3.26-3.32, 3 Sm 3.36-3.63, 2 Tl 3.65
Tl4 0.5000 0.7591 0.7500  6 Tb 3.26-3.32, 3 Sm 3.36-3.63, 2 Tl 3.65

Summary:
The value obtained for the distance to the lowest polymorph of the same formula is 15.4 meV/atom. As for the total magnetization: 0.00 μB/f.u. The space group is No. 63. The raw total energy is -4.260 eV/atom.

---

4.
Below is a relaxed structure of TbSm4Tl, with properties calculated at the PBE-GGA level.

Lattice parameters (Å, degrees): 8.4052 8.4052 6.5595 100.06 100.06 116.38
Closest atoms and distances in Å follow each position.
Sites, in units of the cell vectors:
Tb1 0.0887 0.9113 0.7500  8 Sm 3.51-3.68
Tb2 0.9113 0.0887 0.2500  8 Sm 3.51-3.68
Sm1 0.0924 0.3362 0.8788  4 Sm 3.34-3.73, 2 Tl 3.36-3.40, 2 Tb 3.51-3.58
Sm2 0.2136 0.5937 0.4565  2 Tl 3.27-3.28, 5 Sm 3.34-3.66, 1 Tb 3.65
Sm3 0.3362 0.0924 0.3788  4 Sm 3.34-3.73, 2 Tl 3.36-3.40, 2 Tb 3.51-3.58
Sm4 0.4063 0.7864 0.0435  2 Tl 3.27-3.28, 5 Sm 3.34-3.66, 1 Tb 3.65
Sm5 0.5937 0.2136 0.9565  2 Tl 3.27-3.28, 5 Sm 3.34-3.66, 1 Tb 3.65
Sm6 0.6638 0.9076 0.6212  4 Sm 3.34-3.73, 2 Tl 3.36-3.40, 2 Tb 3.51-3.58
Sm7 0.7864 0.4063 0.5435  2 Tl 3.27-3.28, 5 Sm 3.34-3.66, 1 Tb 3.65
Sm8 0.9076 0.6638 0.1212  4 Sm 3.34-3.73, 2 Tl 3.36-3.40, 2 Tb 3.51-3.58
Tl1 0.5004 0.4996 0.2500  8 Sm 3.27-3.40, 2 Tl 3.28
Tl2 0.4996 0.5004 0.7500  8 Sm 3.27-3.40, 2 Tl 3.28

Summary:
The value obtained for the distance to the lowest polymorph of the same formula is 80.8 meV/atom. As for the total magnetization: 0.00 μB/f.u. The space group is No. 15. The raw total energy is -4.333 eV/atom.

---

5.
Below is a relaxed structure of Tb12SmTl6, with properties calculated at the PBE-GGA level.

Lattice parameters (Å, degrees): 8.9308 8.9308 8.9308 103.55 103.55 103.55
Closest atoms and distances in Å follow each position.
Sites, in units of the cell vectors:
Tb1 0.0000 0.3739 0.6261  4 Tl 3.02-3.12
Tb2 0.0000 0.6261 0.3739  4 Tl 3.02-3.12
Tb3 0.0535 0.0535 0.3199  3 Tl 3.20-3.23
Tb4 0.0535 0.3199 0.0535  3 Tl 3.20-3.23
Tb5 0.3199 0.0535 0.0535  3 Tl 3.20-3.23
Tb6 0.3739 0.0000 0.6261  4 Tl 3.02-3.12
Tb7 0.3739 0.6261 0.0000  4 Tl 3.02-3.12
Tb8 0.6261 0.0000 0.3739  4 Tl 3.02-3.12
Tb9 0.6261 0.3739 0.0000  4 Tl 3.02-3.12
Tb10 0.6801 0.9465 0.9465  3 Tl 3.20-3.23
Tb11 0.9465 0.6801 0.9465  3 Tl 3.20-3.23
Tb12 0.9465 0.9465 0.6801  3 Tl 3.20-3.23
Sm1 0.5000 0.5000 0.5000  6 Tl 4.47, 18 Tb 4.57-4.80
Tl1 0.1952 0.7411 0.7411  7 Tb 3.02-3.23
Tl2 0.2589 0.2589 0.8048  7 Tb 3.02-3.23
Tl3 0.2589 0.8048 0.2589  7 Tb 3.02-3.23
Tl4 0.7411 0.1952 0.7411  7 Tb 3.02-3.23
Tl5 0.7411 0.7411 0.1952  7 Tb 3.02-3.23
Tl6 0.8048 0.2589 0.2589  7 Tb 3.02-3.23

Summary:
As for the total magnetization: 0.01 μB/f.u. The space group is No. 166. The raw total energy is -3.914 eV/atom.

---

6.
Below is a relaxed structure of Tb5Sm4Tl, with properties calculated at the PBE-GGA level.

Lattice parameters (Å, degrees): 4.1728 4.1728 18.1933 90.00 90.00 90.00
Closest atoms and distances in Å follow each position.
Sites, in units of the cell vectors:
Tb1 0.0000 0.0000 0.0000  8 Sm 3.48, 2 Tb 3.75
Tb2 0.0000 0.0000 0.2062  8 Sm 3.43-3.51, 2 Tb 3.73-3.75
Tb3 0.0000 0.0000 0.4110  1 Tb 3.24, 4 Tl 3.37, 4 Sm 3.55
Tb4 0.0000 0.0000 0.5890  1 Tb 3.24, 4 Tl 3.37, 4 Sm 3.55
Tb5 0.0000 0.0000 0.7938  8 Sm 3.43-3.51, 2 Tb 3.73-3.75
Sm1 0.5000 0.5000 0.1013  8 Tb 3.48-3.51, 2 Sm 3.66-3.69
Sm2 0.5000 0.5000 0.3027  8 Tb 3.43-3.55, 1 Tl 3.59, 1 Sm 3.66
Sm3 0.5000 0.5000 0.6973  8 Tb 3.43-3.55, 1 Tl 3.59, 1 Sm 3.66
Sm4 0.5000 0.5000 0.8987  8 Tb 3.48-3.51, 2 Sm 3.66-3.69
Tl1 0.5000 0.5000 0.5000  8 Tb 3.37, 2 Sm 3.59

Summary:
The value obtained for the distance to the lowest polymorph of the same formula is 0.0 meV/atom. As for the total magnetization: 0.00 μB/f.u. The space group is No. 123. The raw total energy is -4.404 eV/atom.

---

7.
Below is a relaxed structure of Tb3Sm2Tl4, with properties calculated at the PBE-GGA level.

Lattice parameters (Å, degrees): 8.9390 8.9390 9.2707 90.00 90.00 132.26
Closest atoms and distances in Å follow each position.
Sites, in units of the cell vectors:
Tb1 0.0000 0.0000 0.0000  6 Tl 2.97-3.10
Tb2 0.0359 0.4641 0.2500  5 Tl 3.08-3.26
Tb3 0.4641 0.0359 0.7500  5 Tl 3.08-3.26
Tb4 0.5000 0.5000 0.5000  6 Tl 2.97-3.10
Tb5 0.5359 0.9641 0.2500  5 Tl 3.08-3.26
Tb6 0.9641 0.5359 0.7500  5 Tl 3.08-3.26
Sm1 0.1095 0.8905 0.4264  3 Tl 3.29-3.47
Sm2 0.3905 0.6095 0.9264  3 Tl 3.29-3.47
Sm3 0.6095 0.3905 0.0736  3 Tl 3.29-3.47
Sm4 0.8905 0.1095 0.5736  3 Tl 3.29-3.47
Tl1 0.1881 0.8119 0.0393  5 Tb 3.10-3.26
Tl2 0.2245 0.2755 0.2500  3 Tb 2.97-3.08, 2 Sm 3.29
Tl3 0.2755 0.2245 0.7500  3 Tb 2.97-3.08, 2 Sm 3.29
Tl4 0.3119 0.6881 0.5393  5 Tb 3.10-3.26
Tl5 0.6881 0.3119 0.4607  5 Tb 3.10-3.26
Tl6 0.7245 0.7755 0.2500  3 Tb 2.97-3.08, 2 Sm 3.29
Tl7 0.7755 0.7245 0.7500  3 Tb 2.97-3.08, 2 Sm 3.29
Tl8 0.8119 0.1881 0.9607  5 Tb 3.10-3.26

Summary:
As for the total magnetization: 0.00 μB/f.u. The space group is No. 64. The raw total energy is -3.871 eV/atom.

---

8.
Below is a relaxed structure of Tb8Sm2Tl, with properties calculated at the PBE-GGA level.

Lattice parameters (Å, degrees): 9.3819 9.3819 7.9340 104.89 104.89 30.77
Closest atoms and distances in Å follow each position.
Sites, in units of the cell vectors:
Tb1 0.0446 0.0446 0.2233  1 Sm 3.47, 9 Tb 3.48-3.57, 2 Tl 3.55
Tb2 0.1350 0.1350 0.6766  2 Tl 3.51, 7 Tb 3.51-3.58, 3 Sm 3.56-3.61
Tb3 0.3196 0.3196 0.5909  8 Tb 3.51-3.62, 3 Sm 3.52-3.57, 1 Tl 3.53
Tb4 0.4105 0.4105 0.0561  1 Tl 3.46, 8 Tb 3.48-3.62, 3 Sm 3.52-3.62
Tb5 0.5895 0.5895 0.9439  1 Tl 3.46, 8 Tb 3.48-3.62, 3 Sm 3.52-3.62
Tb6 0.6804 0.6804 0.4091  8 Tb 3.51-3.62, 3 Sm 3.52-3.57, 1 Tl 3.53
Tb7 0.8650 0.8650 0.3234  2 Tl 3.51, 7 Tb 3.51-3.58, 3 Sm 3.56-3.61
Tb8 0.9554 0.9554 0.7767  1 Sm 3.47, 9 Tb 3.48-3.57, 2 Tl 3.55
Sm1 0.2227 0.2227 0.1354  10 Tb 3.47-3.62, 2 Sm 3.59
Sm2 0.7773 0.7773 0.8646  10 Tb 3.47-3.62, 2 Sm 3.59
Tl1 0.5000 0.5000 0.5000  12 Tb 3.46-3.55

Summary:
The value obtained for the distance to the lowest polymorph of the same formula is 0.0 meV/atom. As for the total magnetization: 0.00 μB/f.u. The space group is No. 12. The raw total energy is -4.476 eV/atom.

---

9.
Below is a relaxed structure of TbSm5Tl8, with properties calculated at the PBE-GGA level.

Lattice parameters (Å, degrees): 8.1439 8.1439 8.1439 109.24 109.24 109.93
Closest atoms and distances in Å follow each position.
Sites, in units of the cell vectors:
Tb1 0.0000 0.0000 0.0000  8 Tl 3.21-3.22
Sm1 0.2537 0.6286 0.1303  8 Tl 3.23-3.29
Sm2 0.3714 0.5017 0.6251  8 Tl 3.23-3.29
Sm3 0.4983 0.1234 0.8697  8 Tl 3.23-3.29
Sm4 0.7500 0.2500 0.5000  8 Tl 3.25-3.27
Sm5 0.8766 0.7463 0.3749  8 Tl 3.23-3.29
Tl1 0.1223 0.2096 0.7530  1 Tb 3.22, 5 Sm 3.25-3.29, 3 Tl 3.44-3.55
Tl2 0.1249 0.7130 0.7561  1 Tb 3.21, 5 Sm 3.23-3.27, 2 Tl 3.44-3.55
Tl3 0.2870 0.0430 0.4118  1 Tb 3.21, 5 Sm 3.23-3.27, 2 Tl 3.44-3.55
Tl4 0.4566 0.3693 0.2470  1 Tb 3.22, 5 Sm 3.25-3.29, 3 Tl 3.44-3.55
Tl5 0.6312 0.8751 0.5882  1 Tb 3.21, 5 Sm 3.23-3.27, 2 Tl 3.44-3.55
Tl6 0.6307 0.8777 0.0873  1 Tb 3.22, 5 Sm 3.25-3.29, 3 Tl 3.44-3.55
Tl7 0.7904 0.5434 0.9127  1 Tb 3.22, 5 Sm 3.25-3.29, 3 Tl 3.44-3.55
Tl8 0.9570 0.3688 0.2439  1 Tb 3.21, 5 Sm 3.23-3.27, 2 Tl 3.44-3.55

Summary:
As for the total magnetization: 0.00 μB/f.u. The space group is No. 82. The raw total energy is -3.648 eV/atom.

---

10.
Below is a relaxed structure of Tb14SmTl, with properties calculated at the PBE-GGA level.

Lattice parameters (Å, degrees): 7.0646 7.0646 10.0561 90.00 90.00 90.00
Closest atoms and distances in Å follow each position.
Sites, in units of the cell vectors:
Tb1 0.0000 0.0000 0.0000  12 Tb 3.53-3.55
Tb2 0.0000 0.5000 0.0000  12 Tb 3.53-3.55
Tb3 0.0000 0.5000 0.5000  2 Tl 3.53, 2 Sm 3.53, 8 Tb 3.53
Tb4 0.2499 0.2499 0.2513  10 Tb 3.53-3.55, 1 Sm 3.53, 1 Tl 3.54
Tb5 0.2499 0.2499 0.7487  10 Tb 3.53-3.55, 1 Sm 3.53, 1 Tl 3.54
Tb6 0.2499 0.7501 0.2513  10 Tb 3.53-3.55, 1 Sm 3.53, 1 Tl 3.54
Tb7 0.2499 0.7501 0.7487  10 Tb 3.53-3.55, 1 Sm 3.53, 1 Tl 3.54
Tb8 0.5000 0.0000 0.0000  12 Tb 3.53-3.55
Tb9 0.5000 0.0000 0.5000  2 Tl 3.53, 2 Sm 3.53, 8 Tb 3.53
Tb10 0.5000 0.5000 0.0000  12 Tb 3.53-3.55
Tb11 0.7501 0.2499 0.2513  10 Tb 3.53-3.55, 1 Sm 3.53, 1 Tl 3.54
Tb12 0.7501 0.2499 0.7487  10 Tb 3.53-3.55, 1 Sm 3.53, 1 Tl 3.54
Tb13 0.7501 0.7501 0.2513  10 Tb 3.53-3.55, 1 Sm 3.53, 1 Tl 3.54
Tb14 0.7501 0.7501 0.7487  10 Tb 3.53-3.55, 1 Sm 3.53, 1 Tl 3.54
Sm1 0.0000 0.0000 0.5000  12 Tb 3.53
Tl1 0.5000 0.5000 0.5000  12 Tb 3.53-3.54

Summary:
As for the total magnetization: 0.00 μB/f.u. The space group is No. 123. The raw total energy is -4.503 eV/atom.

---

11.
Below is a relaxed structure of TbSm5Tl6, with properties calculated at the PBE-GGA level.

Lattice parameters (Å, degrees): 8.6617 8.6617 7.6378 90.00 90.00 143.19
Closest atoms and distances in Å follow each position.
Sites, in units of the cell vectors:
Tb1 0.0000 0.0000 0.0000  8 Tl 3.31-3.33
Sm1 0.0000 0.0000 0.5000  8 Tl 3.33-3.34
Sm2 0.3321 0.6679 0.5000  8 Tl 3.34-3.36
Sm3 0.3335 0.6665 0.0000  8 Tl 3.33-3.35
Sm4 0.6665 0.3335 0.0000  8 Tl 3.33-3.35
Sm5 0.6679 0.3321 0.5000  8 Tl 3.34-3.36
Tl1 0.1653 0.8347 0.2480  1 Tb 3.31, 7 Sm 3.33-3.35
Tl2 0.1653 0.8347 0.7520  1 Tb 3.31, 7 Sm 3.33-3.35
Tl3 0.5000 0.5000 0.2483  2 Tb 3.33, 6 Sm 3.33-3.36
Tl4 0.5000 0.5000 0.7517  2 Tb 3.33, 6 Sm 3.33-3.36
Tl5 0.8347 0.1653 0.2480  1 Tb 3.31, 7 Sm 3.33-3.35
Tl6 0.8347 0.1653 0.7520  1 Tb 3.31, 7 Sm 3.33-3.35

Summary:
As for the total magnetization: 0.00 μB/f.u. The space group is No. 65. The raw total energy is -3.910 eV/atom.

---

12.
Below is a relaxed structure of Tb3Sm2Tl6, with properties calculated at the PBE-GGA level.

Lattice parameters (Å, degrees): 12.0015 12.0015 12.0015 151.35 151.35 40.96
Closest atoms and distances in Å follow each position.
Sites, in units of the cell vectors:
Tb1 0.0000 0.0000 0.0000  2 Tb 3.21, 8 Tl 3.39
Tb2 0.1426 0.1426 0.0000  5 Tl 3.11-3.36, 1 Tb 3.21
Tb3 0.8574 0.8574 0.0000  5 Tl 3.11-3.36, 1 Tb 3.21
Sm1 0.4210 0.4210 0.0000  5 Tl 2.97-3.15
Sm2 0.5790 0.5790 0.0000  5 Tl 2.97-3.15
Tl1 0.0727 0.5727 0.5000  2 Sm 2.97, 1 Tl 3.27
Tl2 0.2811 0.2811 0.0000  1 Tb 3.11, 1 Sm 3.15
Tl3 0.4273 0.9273 0.5000  2 Sm 2.97, 1 Tl 3.27
Tl4 0.5727 0.0727 0.5000  2 Sm 2.97, 1 Tl 3.27
Tl5 0.7189 0.7189 0.0000  1 Tb 3.11, 1 Sm 3.15
Tl6 0.9273 0.4273 0.5000  2 Sm 2.97, 1 Tl 3.27

Summary:
As for the total magnetization: 0.00 μB/f.u. The space group is No. 139. The raw total energy is -3.290 eV/atom.

---

Number 1: ΔE_f -11 kJ/mol of formula units. Number 2: ΔE_f 462 kJ/mol of formula units. Number 3: ΔE_f -67 kJ/mol of formula units. Number 4: ΔE_f -12 kJ/mol of formula units. Number 5: ΔE_f 11 kJ/mol of formula units. Number 6: ΔE_f 34 kJ/mol of formula units. Number 7: ΔE_f -197 kJ/mol of formula units. Number 8: ΔE_f -38 kJ/mol of formula units. Number 9: ΔE_f -377 kJ/mol of formula units. Number 10: ΔE_f -14 kJ/mol of formula units. Number 11: ΔE_f -434 kJ/mol of formula units. Number 12: ΔE_f 129 kJ/mol of formula units.